Material: TaPSe2
Method: DFT, PBE
State: optimized geometry

**DOS at the Fermi energy**: 1.30 states/eV/f.u.
**Uncorrected formation energy**: -0.318 eV/atom

The structure in CIF format:
```
data_TaPSe2
_symmetry_space_group_name_H-M 'P 1'
_symmetry_Int_Tables_number 1
_cell_length_a 3.264
_cell_length_b 3.264
_cell_length_c 7.699
_cell_angle_alpha 90.00
_cell_angle_beta 90.00
_cell_angle_gamma 90.00
loop_
_symmetry_equiv_pos_as_xyz
'x,y,z'
loop_
_atom_site_label
_atom_site_fract_x
_atom_site_fract_y
_atom_site_fract_z
Se1 0.500 0.500 0.342
Se2 0.000 0.000 0.895
Ta1 0.000 0.000 0.551
P1 0.500 0.500 0.712
```